1.
DyIn2Ni (PBE, optimized geometry); VASP energy = -140.179 eV per cell; DOS at the Fermi energy = 0.55 states/eV/atom; symmetry = No. 62; energy of formation from the pure elements = -0.416 eV per atom
1.0
5.630 0.000 0.000
0.000 7.396 0.000
0.000 0.000 16.183
In Dy Ni
16 8 8
Cartesian
4.202 7.039 0.569 In
4.202 4.054 0.569 In
1.387 0.356 7.523 In
2.982 3.329 11.562 In
1.427 0.356 15.615 In
2.982 0.368 11.562 In
0.167 4.066 12.712 In
2.648 4.066 4.621 In
5.463 3.329 3.471 In
4.242 7.039 8.660 In
1.387 3.342 7.523 In
4.242 4.054 8.660 In
2.648 7.027 4.621 In
5.463 0.368 3.471 In
0.167 7.027 12.712 In
1.427 3.342 15.615 In
0.215 1.849 10.396 Dy
4.184 1.849 6.346 Dy
4.261 1.849 14.437 Dy
3.030 5.547 13.879 Dy
5.415 5.547 5.788 Dy
1.369 5.547 1.746 Dy
2.600 1.849 2.304 Dy
1.446 5.547 9.838 Dy
4.107 5.547 2.822 Ni
2.756 5.547 6.915 Ni
4.338 5.547 10.913 Ni
1.523 1.849 13.362 Ni
0.059 5.547 15.007 Ni
5.571 1.849 1.176 Ni
2.874 1.849 9.268 Ni
1.292 1.849 5.270 Ni

***

2.
NdZn9Sn2 (PBE, optimized geometry); VASP energy = -25.420 eV per cell; DOS at the Fermi energy = 0.39 states/eV/atom; symmetry = No. 166; energy of formation from the pure elements = -0.098 eV per atom
1.0
-2.870 -3.799 2.866
2.675 -4.091 2.644
0.458 2.116 8.652
Zn Nd Sn
9 1 2
Cartesian
1.374 -4.814 5.771 Zn
0.325 -3.168 12.291 Zn
1.670 -1.106 8.280 Zn
0.230 -3.012 9.718 Zn
-0.062 -2.606 1.872 Zn
-1.407 -4.668 5.882 Zn
0.032 -2.762 4.444 Zn
-1.112 -0.959 8.391 Zn
0.131 -2.887 7.081 Zn
0.000 0.000 0.000 Nd
0.243 0.168 5.855 Sn
0.020 -5.942 8.308 Sn